# PBE+U NdNi2BiO6, optimized geometry
# E ... -0.2162 hartree per atom
# DOS at the Fermi energy ... 3.20 states/eV/cell
# Magnetic moment ... 2.05 μB/cell
data_NdNi2BiO6
_space_group_name_H-M_alt 'P 1'
_space_group_IT_number 1
_space_group_name_Hall 'P 1'
_cell_length_a 5.5586
_cell_length_b 5.5580
_cell_length_c 5.4881
_cell_angle_alpha 59.57
_cell_angle_beta 59.57
_cell_angle_gamma 59.99
loop_
_atom_site_label
_atom_site_fract_x
_atom_site_fract_y
_atom_site_fract_z
O1 0.8551 0.6747 0.2118
O2 0.6747 0.2584 0.2119
O3 0.1851 0.3483 0.7304
O4 0.3483 0.7362 0.7303
O5 0.7361 0.1851 0.7304
O6 0.2584 0.8550 0.2119
Ni1 0.0166 0.0166 0.9502
Ni2 0.5176 0.5177 0.4471
Bi1 0.2943 0.2942 0.1173
Nd1 0.7753 0.7753 0.6740